# ErAlB

A relaxed structure of ErAlB (PBE, OQMD via LeMat-Bulk).

Cell: 5.824 5.824 5.824 Å, 90.00 90.00 90.00°
Space group F-43m (No. 216)
Symmetry-distinct sites (fractional):
Er: 0.000 0.000 0.000 (multiplicity 4)
Al: 0.000 0.000 0.500 (multiplicity 4)
B: 0.250 0.250 0.750 (multiplicity 4)

Calculated values
Excess energy over the best structure of this formula in the dataset   0.000 eV per atom
Final energy   -5.184 eV/atom
Spin magnetization   0.00 Bohr magnetons per cell